# 1
Below is NiGe2Ru after structural relaxation, with properties calculated at the PBE level.

Calculated values
DFT total energy = -0.456 Ry/atom
Formation energy = -0.53 eV per formula unit
Total magnetization = 0.0 μB/cell
Energy above the most stable polymorph in this dataset = 0.000 eV per atom

a = 3.058 Å, b = 3.058 Å, c = 5.823 Å
α = 90.00°, β = 90.00°, γ = 90.00°
Fractional positions:
1 Ni 0.000 0.000 0.000
2 Ge 0.500 0.500 0.240
3 Ge 0.500 0.500 0.760
4 Ru 0.000 0.000 0.500

# 2
Below is Ni2GeRu2 after structural relaxation, with properties calculated at the PBE level.

Calculated values
DFT total energy = -0.495 Ry/atom
Formation energy = 1.05 eV per formula unit
Total magnetization = 0.0 μB/cell

a = 6.267 Å, b = 6.267 Å, c = 3.599 Å
α = 90.00°, β = 90.00°, γ = 90.00°
Fractional positions:
1 Ni 0.156 0.344 0.000
2 Ni 0.344 0.844 0.000
3 Ni 0.656 0.156 0.000
4 Ni 0.844 0.656 0.000
5 Ge 0.000 0.000 0.500
6 Ge 0.500 0.500 0.500
7 Ru 0.139 0.639 0.500
8 Ru 0.361 0.139 0.500
9 Ru 0.639 0.861 0.500
10 Ru 0.861 0.361 0.500

# 3
Below is NiGe2Ru after structural relaxation, with properties calculated at the PBE level.

Calculated values
DFT total energy = -0.419 Ry/atom
Formation energy = 1.48 eV per formula unit
Total magnetization = 0.0 μB/cell
Energy above the most stable polymorph in this dataset = 0.502 eV per atom

a = 5.520 Å, b = 5.520 Å, c = 10.404 Å
α = 90.00°, β = 90.00°, γ = 90.00°
Fractional positions:
1 Ni 0.000 0.000 0.000
2 Ni 0.000 0.500 0.250
3 Ni 0.500 0.000 0.750
4 Ni 0.500 0.500 0.500
5 Ge 0.240 0.250 0.125
6 Ge 0.250 0.740 0.375
7 Ge 0.250 0.760 0.875
8 Ge 0.260 0.250 0.625
9 Ge 0.740 0.750 0.625
10 Ge 0.750 0.240 0.875
11 Ge 0.750 0.260 0.375
12 Ge 0.760 0.750 0.125
13 Ru 0.000 0.000 0.500
14 Ru 0.000 0.500 0.750
15 Ru 0.500 0.000 0.250
16 Ru 0.500 0.500 0.000

# 4
Below is NiGe2Ru after structural relaxation, with properties calculated at the PBE level.

Calculated values
DFT total energy = -0.452 Ry/atom
Formation energy = -0.29 eV per formula unit
Total magnetization = 0.0 μB/cell
Energy above the most stable polymorph in this dataset = 0.060 eV per atom

a = 4.282 Å, b = 4.282 Å, c = 3.002 Å
α = 90.00°, β = 90.00°, γ = 90.00°
Fractional positions:
1 Ni 0.000 0.000 0.000
2 Ge 0.000 0.500 0.500
3 Ge 0.500 0.000 0.500
4 Ru 0.500 0.500 0.000

# 5
Below is NiGe3Ru after structural relaxation, with properties calculated at the PBE level.

Calculated values
DFT total energy = -0.379 Ry/atom
Formation energy = 3.12 eV per formula unit
Total magnetization = 0.0 μB/cell
Energy above the most stable polymorph in this dataset = 0.000 eV per atom

a = 4.823 Å, b = 4.823 Å, c = 4.823 Å
α = 90.00°, β = 90.00°, γ = 90.00°
Fractional positions:
1 Ni 0.000 0.000 0.000
2 Ge 0.000 0.500 0.500
3 Ge 0.500 0.000 0.500
4 Ge 0.500 0.500 0.000
5 Ru 0.500 0.500 0.500

# 6
Below is NiGe3Ru after structural relaxation, with properties calculated at the PBE level.

Calculated values
DFT total energy = -0.373 Ry/atom
Formation energy = 3.52 eV per formula unit
Total magnetization = 0.1 μB/cell
Energy above the most stable polymorph in this dataset = 0.081 eV per atom

a = 4.519 Å, b = 4.519 Å, c = 4.519 Å
α = 90.00°, β = 90.00°, γ = 90.00°
Fractional positions:
1 Ni 0.000 0.000 0.000
2 Ge 0.000 0.000 0.500
3 Ge 0.000 0.500 0.000
4 Ge 0.500 0.000 0.000
5 Ru 0.500 0.500 0.500

# 7
Below is NiGe2Ru after structural relaxation, with properties calculated at the PBE level.

Calculated values
DFT total energy = -0.455 Ry/atom
Formation energy = -0.49 eV per formula unit
Total magnetization = 0.0 μB/cell
Energy above the most stable polymorph in this dataset = 0.009 eV per atom

a = 3.006 Å, b = 3.006 Å, c = 21.912 Å
α = 90.00°, β = 90.00°, γ = 120.00°
Fractional positions:
1 Ni 0.000 0.000 0.000
2 Ni 0.333 0.667 0.667
3 Ni 0.667 0.333 0.333
4 Ge 0.000 0.000 0.412
5 Ge 0.000 0.000 0.583
6 Ge 0.333 0.667 0.079
7 Ge 0.333 0.667 0.250
8 Ge 0.667 0.333 0.745
9 Ge 0.667 0.333 0.916
10 Ru 0.000 0.000 0.162
11 Ru 0.333 0.667 0.829
12 Ru 0.667 0.333 0.496

# 8
Below is NiGe2Ru after structural relaxation, with properties calculated at the PBE level.

Calculated values
DFT total energy = -0.449 Ry/atom
Formation energy = -0.15 eV per formula unit
Total magnetization = 0.0 μB/cell
Energy above the most stable polymorph in this dataset = 0.095 eV per atom

a = 6.049 Å, b = 6.049 Å, c = 6.049 Å
α = 90.00°, β = 90.00°, γ = 90.00°
Fractional positions:
1 Ni 0.000 0.000 0.000
2 Ni 0.000 0.500 0.500
3 Ni 0.500 0.000 0.500
4 Ni 0.500 0.500 0.000
5 Ge 0.250 0.250 0.250
6 Ge 0.250 0.250 0.750
7 Ge 0.250 0.750 0.250
8 Ge 0.250 0.750 0.750
9 Ge 0.750 0.250 0.250
10 Ge 0.750 0.250 0.750
11 Ge 0.750 0.750 0.250
12 Ge 0.750 0.750 0.750
13 Ru 0.000 0.000 0.500
14 Ru 0.000 0.500 0.000
15 Ru 0.500 0.000 0.000
16 Ru 0.500 0.500 0.500

# 9
Below is Sc2NiGeRu after structural relaxation, with properties calculated at the PBE level.

Calculated values
DFT total energy = -0.444 Ry/atom
Formation energy = 2.11 eV per formula unit
Total magnetization = 1.4 μB/cell

a = 5.006 Å, b = 5.006 Å, c = 4.174 Å
α = 90.00°, β = 90.00°, γ = 90.00°
Fractional positions:
1 Sc 0.000 0.500 0.000
2 Sc 0.500 0.000 0.000
3 Ni 0.000 0.000 0.500
4 Ge 0.000 0.000 0.000
5 Ru 0.500 0.500 0.500

# 10
Below is SmNiGe2Ru after structural relaxation, with properties calculated at the PBE level.

Calculated values
DFT total energy = -0.474 Ry/atom
Formation energy = -3.24 eV per formula unit
Total magnetization = 0.0 μB/cell

a = 4.068 Å, b = 4.068 Å, c = 10.566 Å
α = 90.00°, β = 90.00°, γ = 90.00°
Fractional positions:
1 Sm 0.000 0.000 0.000
2 Sm 0.500 0.500 0.500
3 Ni 0.000 0.500 0.250
4 Ni 0.500 0.000 0.750
5 Ge 0.000 0.000 0.375
6 Ge 0.000 0.000 0.625
7 Ge 0.500 0.500 0.125
8 Ge 0.500 0.500 0.875
9 Ru 0.000 0.500 0.750
10 Ru 0.500 0.000 0.250

# 11
Below is TaNiGeRu after structural relaxation, with properties calculated at the PBE level.

Calculated values
DFT total energy = -0.594 Ry/atom
Formation energy = -0.82 eV per formula unit
Total magnetization = 1.2 μB/cell

a = 6.135 Å, b = 6.135 Å, c = 6.135 Å
α = 90.00°, β = 90.00°, γ = 90.00°
Fractional positions:
1 Ta 0.000 0.000 0.000
2 Ta 0.000 0.500 0.500
3 Ta 0.500 0.000 0.500
4 Ta 0.500 0.500 0.000
5 Ni 0.250 0.250 0.250
6 Ni 0.250 0.750 0.750
7 Ni 0.750 0.250 0.750
8 Ni 0.750 0.750 0.250
9 Ge 0.000 0.000 0.500
10 Ge 0.000 0.500 0.000
11 Ge 0.500 0.000 0.000
12 Ge 0.500 0.500 0.500
13 Ru 0.250 0.250 0.750
14 Ru 0.250 0.750 0.250
15 Ru 0.750 0.250 0.250
16 Ru 0.750 0.750 0.750

# 12
Below is Tb2Ni4Ge3Ru after structural relaxation, with properties calculated at the PBE level.

Calculated values
DFT total energy = -0.449 Ry/atom
Formation energy = -5.56 eV per formula unit
Total magnetization = 1.1 μB/cell

a = 3.996 Å, b = 3.996 Å, c = 10.095 Å
α = 90.00°, β = 90.00°, γ = 90.00°
Fractional positions:
1 Tb 0.000 0.500 0.248
2 Tb 0.500 0.000 0.752
3 Ni 0.000 0.000 0.000
4 Ni 0.000 0.500 0.639
5 Ni 0.500 0.000 0.361
6 Ni 0.500 0.500 0.000
7 Ge 0.000 0.500 0.872
8 Ge 0.500 0.000 0.128
9 Ge 0.500 0.500 0.500
10 Ru 0.000 0.000 0.500

# 13
Below is Tb2Ni3Ge4Ru after structural relaxation, with properties calculated at the PBE level.

Calculated values
DFT total energy = -0.450 Ry/atom
Formation energy = -6.90 eV per formula unit
Total magnetization = 0.0 μB/cell

a = 4.085 Å, b = 4.085 Å, c = 9.911 Å
α = 90.00°, β = 90.00°, γ = 90.00°
Fractional positions:
1 Tb 0.000 0.500 0.242
2 Tb 0.500 0.000 0.758
3 Ni 0.000 0.500 0.874
4 Ni 0.500 0.000 0.126
5 Ni 0.500 0.500 0.500
6 Ge 0.000 0.000 0.000
7 Ge 0.000 0.500 0.636
8 Ge 0.500 0.000 0.364
9 Ge 0.500 0.500 0.000
10 Ru 0.000 0.000 0.500

# 14
Below is Th2Ni3Ge4Ru after structural relaxation, with properties calculated at the PBE level.

Calculated values
DFT total energy = -0.493 Ry/atom
Formation energy = -7.08 eV per formula unit
Total magnetization = 0.0 μB/cell

a = 4.184 Å, b = 4.184 Å, c = 9.843 Å
α = 90.00°, β = 90.00°, γ = 90.00°
Fractional positions:
1 Th 0.000 0.500 0.249
2 Th 0.500 0.000 0.751
3 Ni 0.000 0.500 0.879
4 Ni 0.500 0.000 0.121
5 Ni 0.500 0.500 0.500
6 Ge 0.000 0.000 0.000
7 Ge 0.000 0.500 0.636
8 Ge 0.500 0.000 0.364
9 Ge 0.500 0.500 0.000
10 Ru 0.000 0.000 0.500

# 15
Below is TmNiGe3Ru after structural relaxation, with properties calculated at the PBE level.

Calculated values
DFT total energy = -0.425 Ry/atom
Formation energy = -1.28 eV per formula unit
Total magnetization = 0.0 μB/cell

a = 7.912 Å, b = 7.912 Å, c = 5.697 Å
α = 90.00°, β = 90.00°, γ = 137.76°
Fractional positions:
1 Tm 0.174 0.826 0.750
2 Tm 0.826 0.174 0.250
3 Ni 0.091 0.909 0.250
4 Ni 0.909 0.091 0.750
5 Ge 0.243 0.757 0.250
6 Ge 0.249 0.249 0.000
7 Ge 0.249 0.249 0.500
8 Ge 0.751 0.751 0.000
9 Ge 0.751 0.751 0.500
10 Ge 0.757 0.243 0.750
11 Ru 0.402 0.598 0.250
12 Ru 0.598 0.402 0.750

# 16
Below is Tm2Ni3Ge4Ru after structural relaxation, with properties calculated at the PBE level.

Calculated values
DFT total energy = -0.446 Ry/atom
Formation energy = -6.63 eV per formula unit
Total magnetization = 0.0 μB/cell

a = 4.042 Å, b = 4.042 Å, c = 9.916 Å
α = 90.00°, β = 90.00°, γ = 90.00°
Fractional positions:
1 Tm 0.000 0.500 0.243
2 Tm 0.500 0.000 0.757
3 Ni 0.000 0.500 0.872
4 Ni 0.500 0.000 0.128
5 Ni 0.500 0.500 0.500
6 Ge 0.000 0.000 0.000
7 Ge 0.000 0.500 0.638
8 Ge 0.500 0.000 0.362
9 Ge 0.500 0.500 0.000
10 Ru 0.000 0.000 0.500

# 17
Below is Tm2Ni4Ge3Ru after structural relaxation, with properties calculated at the PBE level.

Calculated values
DFT total energy = -0.446 Ry/atom
Formation energy = -5.46 eV per formula unit
Total magnetization = 0.8 μB/cell

a = 3.911 Å, b = 3.911 Å, c = 10.280 Å
α = 90.00°, β = 90.00°, γ = 90.00°
Fractional positions:
1 Tm 0.000 0.500 0.249
2 Tm 0.500 0.000 0.751
3 Ni 0.000 0.000 0.000
4 Ni 0.000 0.500 0.644
5 Ni 0.500 0.000 0.356
6 Ni 0.500 0.500 0.000
7 Ge 0.000 0.500 0.869
8 Ge 0.500 0.000 0.131
9 Ge 0.500 0.500 0.500
10 Ru 0.000 0.000 0.500

# 18
Below is UNiGe2Ru after structural relaxation, with properties calculated at the PBE level.

Calculated values
DFT total energy = -0.531 Ry/atom
Formation energy = -0.55 eV per formula unit
Total magnetization = 4.0 μB/cell

a = 7.222 Å, b = 7.222 Å, c = 8.114 Å
α = 90.00°, β = 90.00°, γ = 155.65°
Fractional positions:
1 U 0.068 0.932 0.750
2 U 0.932 0.068 0.250
3 Ni 0.500 0.500 0.000
4 Ni 0.500 0.500 0.500
5 Ge 0.334 0.666 0.547
6 Ge 0.334 0.666 0.953
7 Ge 0.666 0.334 0.047
8 Ge 0.666 0.334 0.453
9 Ru 0.250 0.750 0.250
10 Ru 0.750 0.250 0.750

# 19
Below is U2Ni4Ge3Ru after structural relaxation, with properties calculated at the PBE level.

Calculated values
DFT total energy = -0.528 Ry/atom
Formation energy = -3.05 eV per formula unit
Total magnetization = 3.4 μB/cell

a = 3.805 Å, b = 3.805 Å, c = 10.841 Å
α = 90.00°, β = 90.00°, γ = 90.00°
Fractional positions:
1 U 0.000 0.500 0.239
2 U 0.500 0.000 0.761
3 Ni 0.000 0.000 0.500
4 Ni 0.000 0.500 0.842
5 Ni 0.500 0.000 0.158
6 Ni 0.500 0.500 0.500
7 Ge 0.000 0.000 0.000
8 Ge 0.000 0.500 0.627
9 Ge 0.500 0.000 0.373
10 Ru 0.500 0.500 0.000

# 20
Below is VNiGeRu after structural relaxation, with properties calculated at the PBE level.

Calculated values
DFT total energy = -0.551 Ry/atom
Formation energy = -1.18 eV per formula unit
Total magnetization = 0.8 μB/cell

a = 3.804 Å, b = 3.804 Å, c = 7.208 Å
α = 90.00°, β = 90.00°, γ = 90.00°
Fractional positions:
1 V 0.000 0.000 0.000
2 V 0.500 0.500 0.500
3 Ni 0.000 0.500 0.750
4 Ni 0.500 0.000 0.250
5 Ge 0.000 0.000 0.500
6 Ge 0.500 0.500 0.000
7 Ru 0.000 0.500 0.250
8 Ru 0.500 0.000 0.750

# 21
Below is YNiGe2Ru after structural relaxation, with properties calculated at the PBE level.

Calculated values
DFT total energy = -0.500 Ry/atom
Formation energy = -3.24 eV per formula unit
Total magnetization = 0.0 μB/cell

a = 4.038 Å, b = 4.038 Å, c = 10.477 Å
α = 90.00°, β = 90.00°, γ = 90.00°
Fractional positions:
1 Y 0.000 0.000 0.000
2 Y 0.500 0.500 0.500
3 Ni 0.000 0.500 0.250
4 Ni 0.500 0.000 0.750
5 Ge 0.000 0.000 0.377
6 Ge 0.000 0.000 0.623
7 Ge 0.500 0.500 0.123
8 Ge 0.500 0.500 0.877
9 Ru 0.000 0.500 0.750
10 Ru 0.500 0.000 0.250

# 22
Below is NiGe2S after structural relaxation, with properties calculated at the PBE level.

Calculated values
DFT total energy = -0.350 Ry/atom
Formation energy from raw total energies = 28 meV per atom
Total magnetization = 0.0 μB/cell

a = 5.660 Å, b = 5.660 Å, c = 10.366 Å
α = 90.00°, β = 90.00°, γ = 90.00°
Fractional positions:
1 Ni 0.000 0.000 0.000
2 Ni 0.000 0.500 0.250
3 Ni 0.500 0.000 0.750
4 Ni 0.500 0.500 0.500
5 Ge 0.217 0.250 0.125
6 Ge 0.250 0.717 0.375
7 Ge 0.250 0.783 0.875
8 Ge 0.283 0.250 0.625
9 Ge 0.717 0.750 0.625
10 Ge 0.750 0.217 0.875
11 Ge 0.750 0.283 0.375
12 Ge 0.783 0.750 0.125
13 S 0.000 0.000 0.500
14 S 0.000 0.500 0.750
15 S 0.500 0.000 0.250
16 S 0.500 0.500 0.000

# 23
Below is Ni4GeS3 after structural relaxation, with properties calculated at the PBE level.

Calculated values
DFT total energy = -0.383 Ry/atom
Formation energy from raw total energies = -201 meV per atom
Total magnetization = 0.0 μB/cell

a = 3.579 Å, b = 7.785 Å, c = 9.003 Å
α = 90.00°, β = 90.00°, γ = 90.00°
Fractional positions:
1 Ni 0.000 0.000 0.000
2 Ni 0.000 0.000 0.387
3 Ni 0.000 0.500 0.500
4 Ni 0.000 0.500 0.887
5 Ni 0.500 0.192 0.721
6 Ni 0.500 0.308 0.221
7 Ni 0.500 0.692 0.221
8 Ni 0.500 0.808 0.721
9 Ge 0.500 0.000 0.168
10 Ge 0.500 0.500 0.668
11 S 0.000 0.219 0.852
12 S 0.000 0.281 0.352
13 S 0.000 0.719 0.352
14 S 0.000 0.781 0.852
15 S 0.500 0.000 0.545
16 S 0.500 0.500 0.045

# 24
Below is NiGeS2 after structural relaxation, with properties calculated at the PBE level.

Calculated values
DFT total energy = -0.351 Ry/atom
Formation energy from raw total energies = -114 meV per atom
Total magnetization = 0.0 μB/cell

a = 3.464 Å, b = 3.464 Å, c = 18.604 Å
α = 90.00°, β = 90.00°, γ = 120.00°
Fractional positions:
1 Ni 0.000 0.000 0.000
2 Ni 0.333 0.667 0.667
3 Ni 0.667 0.333 0.333
4 Ge 0.000 0.000 0.165
5 Ge 0.333 0.667 0.831
6 Ge 0.667 0.333 0.498
7 S 0.000 0.000 0.404
8 S 0.000 0.000 0.602
9 S 0.333 0.667 0.071
10 S 0.333 0.667 0.269
11 S 0.667 0.333 0.737
12 S 0.667 0.333 0.936